Record 1
A relaxed KMgHg3 crystal, computed with GGA-PBE.

## Properties
DFT formation energy	-0.20	eV per atom
total magnetization	0.000	μB/atom
electronic total energy	-0.06738	Ry per atom

POSCAR file:
```
KMgHg3
1.0
3.504 0.000 -0.482
0.000 5.030 0.000
0.345 0.000 15.474
Hg Mg K
6 2 2
direct
0.528 0.750 0.055
0.367 0.250 0.734
0.633 0.750 0.266
0.306 0.750 0.613
0.472 0.250 0.945
0.694 0.250 0.387
0.213 0.750 0.427
0.787 0.250 0.573
0.919 0.750 0.838
0.081 0.250 0.162
```


Record 2
A relaxed La5CeSe8 crystal, computed with GGA-PBE.

## Properties
total magnetization	0.162	μB/atom
energy relative to the elements, uncorrected	-1992	meV per atom
electronic total energy	-0.45322	Ry per atom

POSCAR file:
```
La5CeSe8
1.0
7.859 0.021 -0.036
-2.640 7.403 0.036
-2.580 -3.733 6.417
La Se Ce
5 8 1
direct
0.872 0.873 0.247
0.753 0.625 0.626
0.001 0.375 0.128
0.500 0.000 0.500
0.374 0.127 0.999
0.776 0.249 0.374
0.473 0.598 0.224
0.622 0.898 0.873
0.626 0.402 0.875
0.975 0.102 0.724
0.125 0.751 0.527
0.276 0.251 0.378
0.127 0.749 0.025
0.250 0.500 0.750
```


Record 3
A relaxed NiSnMoPb2 crystal, computed with GGA-PBE.

## Properties
DFT formation energy	0.74	eV per atom
total magnetization	0.616	μB/atom
electronic total energy	-0.35754	Ry per atom

POSCAR file:
```
NiSnMoPb2
1.0
-2.481 -0.429 -4.336
0.986 -4.893 -0.081
-4.243 -0.897 2.517
Mo Sn Pb Ni
1 1 2 1
direct
0.000 0.500 0.000
0.500 0.500 0.500
0.000 0.000 0.500
0.500 0.000 0.000
0.000 0.000 0.000
```


Record 4
A relaxed CdIn2P crystal, computed with GGA-PBE.

## Properties
DFT formation energy	0.22	eV per atom
total magnetization	0.000	μB/atom
electronic total energy	-0.20057	Ry per atom

POSCAR file:
```
CdIn2P
1.0
-1.911 -3.936 -2.293
4.723 -1.427 0.249
-0.677 -1.647 3.390
In P Cd
2 1 1
direct
0.500 0.500 0.000
0.000 0.000 0.000
0.500 0.000 0.500
0.000 0.500 0.500
```


Record 5
A relaxed Tb4SiGeS2 crystal, computed with GGA-PBE.

## Properties
total magnetization	0.000	μB/atom
energy relative to the elements, uncorrected	-1418	meV per atom
electronic total energy	-0.44248	Ry per atom

POSCAR file:
```
Tb4SiGeS2
1.0
-0.569 -3.539 1.892
6.470 0.462 2.808
-0.375 3.340 6.136
Tb Ge S Si
4 1 2 1
direct
0.000 0.750 0.749
0.500 0.251 0.748
0.000 0.250 0.251
0.500 0.749 0.252
0.500 0.500 0.000
0.500 0.000 0.500
0.000 0.000 0.000
0.000 0.500 0.500
```


Record 6
A relaxed NaHfNbAu2 crystal, computed with GGA-PBE.

## Properties
DFT formation energy	1.35	eV per atom
total magnetization	0.541	μB/atom
electronic total energy	-0.31087	Ry per atom

POSCAR file:
```
NaHfNbAu2
1.0
5.080 0.000 0.000
0.000 5.248 0.000
0.000 0.000 5.080
Au Na Hf Nb
2 1 1 1
direct
0.000 0.000 0.500
0.500 0.000 0.000
0.000 0.500 0.000
0.000 0.000 0.000
0.500 0.500 0.500
```


Question: Among the records above, which one has the highest total magnetization?
Answer: NiSnMoPb2